Entry from Alexandria: a geometry-optimized In2SbPb6 structure (GGA-PBE).

ΔE_f (raw) = 0.042 eV/atom
DOS at the Fermi energy = 0.43 states/eV per atom
SG = C2/c
DFT total energy = -62.94 eV per cell
Excess energy over the best structure of this formula in the dataset = 0 meV/atom

a = 8.8520 Å, b = 8.8520 Å, c = 9.1785 Å
α = 118.54°, β = 118.54°, γ = 81.43°
With the nearest neighbours (Å) after each atom.
Positions (direct):
In  0.0686  0.3041  0.4285  2 Sb 3.11-3.34, 4 Pb 3.27-3.32, 1 In 3.34
In  0.3041  0.0686  0.9285  2 Sb 3.11-3.34, 4 Pb 3.27-3.32, 1 In 3.34
In  0.6959  0.9314  0.0715  2 Sb 3.11-3.34, 4 Pb 3.27-3.32, 1 In 3.34
In  0.9314  0.6959  0.5715  2 Sb 3.11-3.34, 4 Pb 3.27-3.32, 1 In 3.34
Sb  0.3280  0.6720  0.7500  4 In 3.11-3.34, 2 Pb 3.31
Sb  0.6720  0.3280  0.2500  4 In 3.11-3.34, 2 Pb 3.31
Pb  0.0444  0.8098  0.0124  2 In 3.31-3.32, 7 Pb 3.41-3.57
Pb  0.1254  0.3876  0.8402  2 In 3.27-3.28, 7 Pb 3.41-3.59
Pb  0.1902  0.9556  0.4876  2 In 3.31-3.32, 7 Pb 3.41-3.57
Pb  0.3029  0.5215  0.3318  2 Sb 3.31-3.69, 8 Pb 3.47-3.59, 1 In 3.66
Pb  0.3876  0.1254  0.3402  2 In 3.27-3.28, 7 Pb 3.41-3.59
Pb  0.4785  0.6971  0.1682  2 Sb 3.31-3.69, 8 Pb 3.47-3.59, 1 In 3.66
Pb  0.5215  0.3029  0.8318  2 Sb 3.31-3.69, 8 Pb 3.47-3.59, 1 In 3.66
Pb  0.6124  0.8746  0.6598  2 In 3.27-3.28, 7 Pb 3.41-3.59
Pb  0.6971  0.4785  0.6682  2 Sb 3.31-3.69, 8 Pb 3.47-3.59, 1 In 3.66
Pb  0.8098  0.0444  0.5124  2 In 3.31-3.32, 7 Pb 3.41-3.57
Pb  0.8746  0.6124  0.1598  2 In 3.27-3.28, 7 Pb 3.41-3.59
Pb  0.9556  0.1902  0.9876  2 In 3.31-3.32, 7 Pb 3.41-3.57

Entry from Alexandria: a geometry-optimized Bi2Pd3S2 structure (GGA-PBE).

ΔE_f (raw) = -0.196 eV/atom
DOS at the Fermi energy = 0.61 states/eV per atom
SG = C2/m
DFT total energy = -65.93 eV per cell
Excess energy over the best structure of this formula in the dataset = 170 meV/atom

a = 12.8211 Å, b = 4.0988 Å, c = 6.6130 Å
α = 90.00°, β = 110.02°, γ = 90.00°
With the nearest neighbours (Å) after each atom.
Positions (direct):
Bi  0.1304  0.0000  0.3523  5 Pd 2.74-3.01
Bi  0.3696  0.5000  0.6477  5 Pd 2.74-3.01
Bi  0.6304  0.5000  0.3523  5 Pd 2.74-3.01
Bi  0.8696  0.0000  0.6477  5 Pd 2.74-3.01
Pd  0.0000  0.5000  0.5000  2 S 2.32
Pd  0.2431  0.5000  0.2192  3 S 2.46-2.55, 1 Bi 2.74
Pd  0.2569  0.0000  0.7808  3 S 2.46-2.55, 1 Bi 2.74
Pd  0.5000  0.0000  0.5000  2 S 2.32
Pd  0.7431  0.0000  0.2192  3 S 2.46-2.55, 1 Bi 2.74
Pd  0.7569  0.5000  0.7808  3 S 2.46-2.55, 1 Bi 2.74
S  0.1567  0.5000  0.8092  4 Pd 2.32-2.55
S  0.3433  0.0000  0.1908  4 Pd 2.32-2.55
S  0.6567  0.0000  0.8092  4 Pd 2.32-2.55
S  0.8433  0.5000  0.1908  4 Pd 2.32-2.55

Entry from Alexandria: a geometry-optimized SrAc2Au structure (GGA-PBE).

DOS at the Fermi energy = 1.41 states/eV per atom
SG = R3m
DFT total energy = -43.06 eV per cell
Excess energy over the best structure of this formula in the dataset = 70 meV/atom

a = 4.2944 Å, b = 4.2944 Å, c = 32.7059 Å
α = 90.00°, β = 90.00°, γ = 120.00°
With the nearest neighbours (Å) after each atom.
Positions (direct):
Sr  0.0000  0.0000  0.0000  6 Ac 4.27, 6 Sr 4.29
Sr  0.3333  0.6667  0.6667  6 Ac 4.27, 6 Sr 4.29
Sr  0.6667  0.3333  0.3333  6 Ac 4.27, 6 Sr 4.29
Ac  0.0000  0.0000  0.5604  3 Au 3.18
Ac  0.0000  0.0000  0.7730  3 Au 3.16
Ac  0.3333  0.6667  0.2271  3 Au 3.18
Ac  0.3333  0.6667  0.4396  3 Au 3.16
Ac  0.6667  0.3333  0.1063  3 Au 3.16
Ac  0.6667  0.3333  0.8937  3 Au 3.18
Au  0.0000  0.0000  0.1663  6 Ac 3.16-3.18
Au  0.3333  0.6667  0.8330  6 Ac 3.16-3.18
Au  0.6667  0.3333  0.4996  6 Ac 3.16-3.18

Entry from Alexandria: a geometry-optimized Ho12ErC7 structure (GGA-PBE).

DOS at the Fermi energy = 0.80 states/eV per atom
SG = R-3
DFT total energy = -129.34 eV per cell

a = 8.0679 Å, b = 8.0679 Å, c = 8.0679 Å
α = 107.70°, β = 107.70°, γ = 107.70°
With the nearest neighbours (Å) after each atom.
Positions (direct):
Ho  0.0574  0.3409  0.1261  3 C 2.44-2.46
Ho  0.1261  0.0574  0.3409  3 C 2.44-2.46
Ho  0.1916  0.7137  0.5701  3 C 2.40-2.56
Ho  0.2863  0.4299  0.8084  3 C 2.40-2.56
Ho  0.3409  0.1261  0.0574  3 C 2.44-2.46
Ho  0.4299  0.8084  0.2863  3 C 2.40-2.56
Ho  0.5701  0.1916  0.7137  3 C 2.40-2.56
Ho  0.6591  0.8739  0.9426  3 C 2.44-2.46
Ho  0.7137  0.5701  0.1916  3 C 2.40-2.56
Ho  0.8084  0.2863  0.4299  3 C 2.40-2.56
Ho  0.8739  0.9426  0.6591  3 C 2.44-2.46
Ho  0.9426  0.6591  0.8739  3 C 2.44-2.46
Er  0.5000  0.5000  0.5000  6 C 2.60
C  0.0000  0.0000  0.0000  6 Ho 2.46
C  0.1463  0.3844  0.4588  5 Ho 2.40-2.56, 1 Er 2.60
C  0.3844  0.4588  0.1463  5 Ho 2.40-2.56, 1 Er 2.60
C  0.4588  0.1463  0.3844  5 Ho 2.40-2.56, 1 Er 2.60
C  0.5412  0.8537  0.6156  5 Ho 2.40-2.56, 1 Er 2.60
C  0.6156  0.5412  0.8537  5 Ho 2.40-2.56, 1 Er 2.60
C  0.8537  0.6156  0.5412  5 Ho 2.40-2.56, 1 Er 2.60

Entry from Alexandria: a geometry-optimized AlAuS2 structure (GGA-PBE).

ΔE_f (raw) = -0.307 eV/atom
DOS at the Fermi energy = 0.00 states/eV per atom
SG = P2_1/c
DFT total energy = -66.02 eV per cell

a = 7.2375 Å, b = 3.5512 Å, c = 13.0761 Å
α = 90.00°, β = 103.11°, γ = 90.00°
With the nearest neighbours (Å) after each atom.
Positions (direct):
Al  0.2424  0.2069  0.4048  3 S 2.30-2.39, 1 Au 2.54
Al  0.2424  0.2931  0.9048  3 S 2.30-2.39, 1 Au 2.54
Al  0.7576  0.7069  0.0952  3 S 2.30-2.39, 1 Au 2.54
Al  0.7576  0.7931  0.5952  3 S 2.30-2.39, 1 Au 2.54
Au  0.0215  0.1751  0.1659  1 S 2.50, 2 Al 2.54-2.70
Au  0.0215  0.3249  0.6659  1 S 2.50, 2 Al 2.54-2.70
Au  0.9785  0.6751  0.3341  1 S 2.50, 2 Al 2.54-2.70
Au  0.9785  0.8249  0.8341  1 S 2.50, 2 Al 2.54-2.70
S  0.2825  0.1159  0.5823  1 S 2.20, 1 Al 2.30
S  0.2825  0.3841  0.0823  1 S 2.20, 1 Al 2.30
S  0.4199  0.7213  0.3577  1 S 2.20, 2 Al 2.32-2.39
S  0.4199  0.7787  0.8577  1 S 2.20, 2 Al 2.32-2.39
S  0.5801  0.2213  0.1423  1 S 2.20, 2 Al 2.32-2.39
S  0.5801  0.2787  0.6423  1 S 2.20, 2 Al 2.32-2.39
S  0.7175  0.6159  0.9177  1 S 2.20, 1 Al 2.30
S  0.7175  0.8841  0.4177  1 S 2.20, 1 Al 2.30

Entry from Alexandria: a geometry-optimized LaZnOsSe2 structure (GGA-PBE).

ΔE_f (raw) = 0.023 eV/atom
DOS at the Fermi energy = 0.77 states/eV per atom
SG = P4/mmm
DFT total energy = -24.28 eV per cell

a = 4.9824 Å, b = 4.9824 Å, c = 5.3182 Å
α = 90.00°, β = 90.00°, γ = 90.00°
With the nearest neighbours (Å) after each atom.
Positions (direct):
La  0.0000  0.0000  0.0000  2 Os 2.66
Zn  0.5000  0.5000  0.0000  4 La 3.52, 8 Se 3.64
Os  0.0000  0.0000  0.5000  4 Se 2.49, 2 La 2.66
Se  0.0000  0.5000  0.5000  2 Os 2.49
Se  0.5000  0.0000  0.5000  2 Os 2.49

Number 6 is which compound?
LaZnOsSe2